LiTmPt4: optimized geometry, PBE.

Results
- total magnetic moment (μB per atom) = 0.00
- formation energy from the elements (eV/atom) = -0.860
- calculated volume (Å³/cell) = 428.51
- final energy (eV per atom) = -5.95

Lattice parameters (Å, degrees): 7.5391 7.5391 7.5391 90.00 90.00 90.00
Closest atoms and distances in Å follow each position.
Space group F-43m (No. 216)
Unique sites:
Li  0.0000  0.0000  0.0000  12 Pt 3.12, 4 Tm 3.26
Tm  0.2500  0.2500  0.7500  12 Pt 3.13, 4 Li 3.26
Pt  0.1253  0.1253  0.3747  6 Pt 2.66-2.67